1.
Material: Zr2SnN2
Method: DFT, PBE
State: relaxed

Results
The energy above the lowest structure with this stoichiometry is 0.000 eV/atom. The uncorrected formation energy comes out at -5.060 eV per formula unit.

a = 3.7578 Å, b = 3.7578 Å, c = 13.3305 Å
α = 90.00°, β = 90.00°, γ = 90.00°
Space group I4/mmm (No. 139)
Asymmetric unit:
Zr 0.0000 0.0000 0.1755 (multiplicity 4)
Sn 0.0000 0.0000 0.5000 (multiplicity 2)
N 0.0000 0.5000 0.2500 (multiplicity 4)

=====

2.
Material: CdTe2
Method: DFT, PBE
State: relaxed

Results
The uncorrected formation energy comes out at 0.722 eV per formula unit.

a = 4.1472 Å, b = 4.1472 Å, c = 5.8223 Å
α = 90.00°, β = 90.00°, γ = 90.00°
Space group P4/mmm (No. 123)
Asymmetric unit:
Cd 0.0000 0.0000 0.0000 (multiplicity 1)
Te 0.0000 0.0000 0.5000 (multiplicity 1)
Te 0.5000 0.5000 0.0000 (multiplicity 1)

=====

3.
Material: KLiFe2
Method: DFT, PBE
State: relaxed

Results
The energy above the lowest structure with this stoichiometry is 0.778 eV/atom. As for the formation energy: 30.48 kcal/mol of atoms.

a = 6.9824 Å, b = 6.9824 Å, c = 6.9824 Å
α = 90.00°, β = 90.00°, γ = 90.00°
Space group Fm-3m (No. 225)
Asymmetric unit:
K 0.0000 0.0000 0.0000 (multiplicity 4)
Li 0.0000 0.0000 0.5000 (multiplicity 4)
Fe 0.2500 0.2500 0.2500 (multiplicity 8)

=====

4.
Material: Np2AgPbO8
Method: DFT, PBE
State: relaxed

Results
The uncorrected formation energy comes out at -21.049 eV per formula unit.

a = 6.0425 Å, b = 6.0425 Å, c = 5.8366 Å
α = 90.00°, β = 90.00°, γ = 120.00°
Space group P-3 (No. 147)
Asymmetric unit:
Np 0.3333 0.6667 0.4344 (multiplicity 2)
Ag 0.0000 0.0000 0.5000 (multiplicity 1)
Pb 0.0000 0.0000 0.0000 (multiplicity 1)
O 0.0614 0.3872 0.6579 (multiplicity 6)
O 0.3333 0.6667 0.1166 (multiplicity 2)

=====

The following DOS at the Fermi energy values (in states/eV/f.u.) correspond, in order, to the records above: 2.954 3.051 5.008 7.388.